The following is a PBE-GGA calculation of a geometry-optimized NaNpBeSe3 structure, from the Alexandria database.

Geometry as POSCAR:
```
NaNpBeSe3
1.0
8.607 0.000 0.000
0.000 3.958 0.000
-2.223 0.000 9.074
Na Np Be Se
2 2 2 6
direct
0.192 0.250 0.213
0.808 0.750 0.787
0.329 0.750 0.847
0.671 0.250 0.153
0.077 0.250 0.599
0.923 0.750 0.401
0.084 0.250 0.840
0.186 0.750 0.523
0.433 0.750 0.164
0.567 0.250 0.836
0.814 0.250 0.477
0.916 0.750 0.160
```

- Calculated density: 5.436 g/cm3
- Calculated total energy: -5.722 eV per atom
- Space group: No. 11
- Total moment: 8.00 μB/cell